No. 1
First-principles (PBE) data for crystalline CdFeMoPb at its relaxed geometry, as listed in OQMD.

Values from the calculation:
Space-group type: F-43m (216)
ΔE to the lowest computed polymorph in eV per formula unit: 0.00
E in eV per atom: -5.1774

abc: 4.6762 4.6762 4.6762
angles: 60.00 60.00 60.00
Last column: nearest neighbours and their distance in Å.
Positions (direct):
Pb 0.0000 0.0000 0.0000  4 Fe 2.86, 4 Mo 2.86
Cd 0.5000 0.5000 0.5000  4 Fe 2.86, 4 Mo 2.86
Fe 0.7500 0.7500 0.7500  4 Cd 2.86, 4 Pb 2.86
Mo 0.2500 0.2500 0.2500  4 Cd 2.86, 4 Pb 2.86

=====

No. 2
First-principles (PBE) data for crystalline MgAl2ZnCu4 at its relaxed geometry, as listed in OQMD.

Values from the calculation:
Space-group type: I4_1/amd (141)
ΔE to the lowest computed polymorph in eV per formula unit: 0.01
E in eV per atom: -3.3086

abc: 7.3796 7.3796 7.3796
angles: 132.28 132.28 69.78
Last column: nearest neighbours and their distance in Å.
Positions (direct):
Al 0.9952 0.9952 0.0000  8 Cu 2.59-2.61
Al 0.7548 0.2548 0.5000  8 Cu 2.59-2.61
Al 0.5048 0.5048 0.0000  8 Cu 2.59-2.61
Al 0.2452 0.7452 0.5000  8 Cu 2.59-2.61
Cu 0.8750 0.8877 0.5127  2 Zn 2.55, 4 Al 2.59-2.61, 2 Mg 2.64, 1 Cu 2.83
Cu 0.6123 0.6250 0.4874  2 Zn 2.55, 4 Al 2.59-2.61, 2 Mg 2.64, 1 Cu 2.83
Cu 0.3750 0.8877 0.0127  2 Zn 2.55, 4 Al 2.59-2.61, 2 Mg 2.64, 1 Cu 2.83
Cu 0.6123 0.1250 0.9873  2 Zn 2.55, 4 Al 2.59-2.61, 2 Mg 2.64, 1 Cu 2.83
Cu 0.1377 0.6250 0.0127  2 Zn 2.55, 4 Al 2.59-2.61, 2 Mg 2.64, 1 Cu 2.83
Cu 0.1377 0.1250 0.5127  2 Zn 2.55, 4 Al 2.59-2.61, 2 Mg 2.64, 1 Cu 2.83
Cu 0.8750 0.3623 0.9873  2 Zn 2.55, 4 Al 2.59-2.61, 2 Mg 2.64, 1 Cu 2.83
Cu 0.3750 0.3623 0.4874  2 Zn 2.55, 4 Al 2.59-2.61, 2 Mg 2.64, 1 Cu 2.83
Mg 0.7500 0.7500 0.0000  8 Cu 2.64
Mg 0.0000 0.5000 0.5000  8 Cu 2.64
Zn 0.2500 0.2500 0.0000  8 Cu 2.55
Zn 0.5000 0.0000 0.5000  8 Cu 2.55

=====

No. 3
First-principles (PBE) data for crystalline GdTcPO at its relaxed geometry, as listed in OQMD.

Values from the calculation:
Space-group type: Pmc2_1 (26)
ΔE to the lowest computed polymorph in eV per formula unit: 1.72
E in eV per atom: -7.8310

abc: 4.4052 4.2724 6.5457
angles: 90.00 90.00 90.00
Last column: nearest neighbours and their distance in Å.
Positions (direct):
Tc 0.0000 0.1801 0.9417  2 O 2.20, 3 P 2.32-2.37
Tc 0.0000 0.8199 0.4417  2 O 2.20, 3 P 2.32-2.37
P 0.0000 0.3186 0.2849  3 Tc 2.32-2.37
P 0.0000 0.6814 0.7849  3 Tc 2.32-2.37
O 0.5000 0.8115 0.4352  2 Tc 2.20, 3 Gd 2.30-2.41
O 0.5000 0.1885 0.9352  2 Tc 2.20, 3 Gd 2.30-2.41
Gd 0.5000 0.3008 0.5921  3 O 2.30-2.41
Gd 0.5000 0.6992 0.0922  3 O 2.30-2.41

=====

No. 4
First-principles (PBE) data for crystalline CuBIrOs at its relaxed geometry, as listed in OQMD.

Values from the calculation:
Space-group type: F-43m (216)
ΔE to the lowest computed polymorph in eV per formula unit: 0.00
E in eV per atom: -6.8419

abc: 4.1336 4.1336 4.1336
angles: 60.00 60.00 60.00
Last column: nearest neighbours and their distance in Å.
Positions (direct):
Ir 0.5000 0.5000 0.5000  4 Os 2.53, 4 Cu 2.53
Cu 0.7500 0.7500 0.7500  4 Ir 2.53, 4 B 2.53
B 0.0000 0.0000 0.0000  4 Os 2.53, 4 Cu 2.53
Os 0.2500 0.2500 0.2500  4 Ir 2.53, 4 B 2.53